(1)
Entry from the Alexandria database: Al2FeMo after structural relaxation (PBE).

Structure (CIF):
```
data_Al2FeMo
_chemical_formula_sum 'Al8 Fe4 Mo4'
_cell_length_a 6.739
_cell_length_b 6.739
_cell_length_c 5.193
_cell_angle_alpha 90.00
_cell_angle_beta 90.00
_cell_angle_gamma 90.00
_space_group_name_H-M_alt 'I -4 2 d'
_space_group_IT_number 122
_space_group_name_Hall 'I -4 2bw'
loop_
_atom_site_label
_atom_site_type_symbol
_atom_site_fract_x
_atom_site_fract_y
_atom_site_fract_z
Al1 Al 0.218 0.250 0.125
Fe1 Fe 0.000 0.000 0.000
Mo1 Mo 0.000 0.000 0.500
```

Computed properties:
Mass density   5.8 g cm⁻³
N(E_F)   4.03 states/eV/f.u.
Calculated total energy   -25.45 eV/f.u.

(2)
Entry from the Alexandria database: Ac5Sn2Pd2 after structural relaxation (PBE).

Structure (CIF):
```
data_Ac5Sn2Pd2
_chemical_formula_sum 'Ac20 Sn8 Pd8'
_cell_length_a 16.556
_cell_length_b 8.611
_cell_length_c 8.638
_cell_angle_alpha 90.00
_cell_angle_beta 90.00
_cell_angle_gamma 90.00
_space_group_name_H-M_alt 'C m c e'
_space_group_IT_number 64
_space_group_name_Hall '-C 2ac 2'
loop_
_atom_site_label
_atom_site_type_symbol
_atom_site_fract_x
_atom_site_fract_y
_atom_site_fract_z
Ac1 Ac 0.000 0.000 0.000
Ac2 Ac 0.128 0.169 0.334
Sn1 Sn 0.207 0.000 0.000
Pd1 Pd 0.000 0.125 0.626
```

Computed properties:
Mass density   8.6 g cm⁻³
N(E_F)   7.95 states/eV/f.u.
Calculated total energy   -44.61 eV/f.u.

(3)
Entry from the Alexandria database: NaZrSb after structural relaxation (PBE).

Structure (CIF):
```
data_NaZrSb
_chemical_formula_sum 'Na4 Zr4 Sb4'
_cell_length_a 3.816
_cell_length_b 3.816
_cell_length_c 24.336
_cell_angle_alpha 90.00
_cell_angle_beta 90.00
_cell_angle_gamma 90.00
_space_group_name_H-M_alt 'I 4/m m m'
_space_group_IT_number 139
_space_group_name_Hall '-I 4 2'
loop_
_atom_site_label
_atom_site_type_symbol
_atom_site_fract_x
_atom_site_fract_y
_atom_site_fract_z
Na1 Na 0.000 0.000 0.075
Zr1 Zr 0.000 0.000 0.215
Sb1 Sb 0.000 0.000 0.339
```

Computed properties:
Formation energy (no corrections)   -46.7 kJ/mol of atoms
Mass density   4.4 g cm⁻³
N(E_F)   0.91 states/eV/f.u.

(4)
Entry from the Alexandria database: La3FeB after structural relaxation (PBE).

Structure (CIF):
```
data_La3FeB
_chemical_formula_sum 'La3 Fe1 B1'
_cell_length_a 5.095
_cell_length_b 5.095
_cell_length_c 5.095
_cell_angle_alpha 90.00
_cell_angle_beta 90.00
_cell_angle_gamma 90.00
_space_group_name_H-M_alt 'P m -3 m'
_space_group_IT_number 221
_space_group_name_Hall '-P 4 2 3'
loop_
_atom_site_label
_atom_site_type_symbol
_atom_site_fract_x
_atom_site_fract_y
_atom_site_fract_z
La1 La 0.000 0.000 0.500
Fe1 Fe 0.000 0.000 0.000
B1 B 0.500 0.500 0.500
```

Computed properties:
Mass density   6.1 g cm⁻³
N(E_F)   3.79 states/eV/f.u.
Calculated total energy   -27.14 eV/f.u.

(5)
Entry from the Alexandria database: TcAu3 after structural relaxation (PBE).

Structure (CIF):
```
data_TcAu3
_chemical_formula_sum 'Tc1 Au3'
_cell_length_a 2.759
_cell_length_b 4.815
_cell_length_c 5.166
_cell_angle_alpha 90.00
_cell_angle_beta 90.00
_cell_angle_gamma 90.00
_space_group_name_H-M_alt 'P m m 2'
_space_group_IT_number 25
loop_
_space_group_symop_operation_xyz
'x,y,z'
'-x,-y,z'
'-x,y,z'
'x,-y,z'
loop_
_atom_site_label
_atom_site_type_symbol
_atom_site_fract_x
_atom_site_fract_y
_atom_site_fract_z
Tc1 Tc 0.000 0.000 0.000
Au1 Au 0.000 0.500 0.688
Au2 Au 0.500 0.000 0.496
Au3 Au 0.500 0.500 0.174
```

Computed properties:
Mass density   16.7 g cm⁻³
N(E_F)   3.43 states/eV/f.u.
Calculated total energy   -18.79 eV/f.u.

(6)
Entry from the Alexandria database: LaIrOs2 after structural relaxation (PBE).

Structure (CIF):
```
data_LaIrOs2
_chemical_formula_sum 'La1 Ir1 Os2'
_cell_length_a 4.102
_cell_length_b 4.102
_cell_length_c 4.245
_cell_angle_alpha 90.00
_cell_angle_beta 90.00
_cell_angle_gamma 90.00
_space_group_name_H-M_alt 'P 4/m m m'
_space_group_IT_number 123
_space_group_name_Hall '-P 4 2'
loop_
_atom_site_label
_atom_site_type_symbol
_atom_site_fract_x
_atom_site_fract_y
_atom_site_fract_z
La1 La 0.000 0.000 0.000
Ir1 Ir 0.500 0.500 0.000
Os1 Os 0.000 0.500 0.500
```

Computed properties:
Mass density   16.5 g cm⁻³
N(E_F)   5.40 states/eV/f.u.
Calculated total energy   -34.36 eV/f.u.

(7)
Entry from the Alexandria database: TbPrNiAu after structural relaxation (PBE).

Structure (CIF):
```
data_TbPrNiAu
_chemical_formula_sum 'Tb4 Pr4 Ni4 Au4'
_cell_length_a 7.182
_cell_length_b 7.182
_cell_length_c 7.182
_cell_angle_alpha 90.00
_cell_angle_beta 90.00
_cell_angle_gamma 90.00
_space_group_name_H-M_alt 'F -4 3 m'
_space_group_IT_number 216
_space_group_name_Hall 'F -4 2 3'
loop_
_atom_site_label
_atom_site_type_symbol
_atom_site_fract_x
_atom_site_fract_y
_atom_site_fract_z
Tb1 Tb 0.000 0.000 0.000
Pr1 Pr 0.000 0.000 0.500
Ni1 Ni 0.250 0.250 0.750
Au1 Au 0.250 0.250 0.250
```

Computed properties:
Mass density   10.0 g cm⁻³
N(E_F)   2.77 states/eV/f.u.
Calculated total energy   -20.45 eV/f.u.

no.,volume (Å³ per cell)
1,235.9
2,1231.5
3,354.5
4,132.3
5,68.6
6,71.4
7,370.5